[1]
Entry from the Alexandria database: an optimized crystal structure of AlNi2Ag (GGA-PBE).

Lattice parameters (Å, degrees): 5.4536 6.8854 2.8267 90.00 90.00 90.00
Last column: nearest neighbours and their distance in Å.
Space group Cmmm (No. 65)
Inequivalent atoms, fractional coordinates:
Al1 0.0000 0.0000 0.0000  8 Ni 2.61, 2 Ag 2.73, 2 Al 2.83
Ni1 0.2500 0.2500 0.5000  4 Al 2.61, 4 Ag 2.61, 4 Ni 2.73-2.83
Ag1 0.0000 0.5000 0.0000  8 Ni 2.61, 2 Al 2.73, 2 Ag 2.83

Properties
* Fermi-level density of states: 4.3 states/eV per cell
* VASP energy: -18.81 eV per formula unit

***

[2]
Entry from the Alexandria database: an optimized crystal structure of AcH2I (GGA-PBE).

Lattice parameters (Å, degrees): 4.2785 4.2785 11.9169 90.00 90.00 120.00
Last column: nearest neighbours and their distance in Å.
Space group P-3m1 (No. 164)
Inequivalent atoms, fractional coordinates:
Ac1 0.3333 0.6667 0.3495  7 H 2.48-2.68
H1 0.0000 0.0000 0.3671  3 Ac 2.48, 3 H 2.61
H2 0.3333 0.6667 0.5625  4 Ac 2.54-2.68, 3 H 2.61
I1 0.3333 0.6667 0.8431  4 H 3.34-3.52, 3 Ac 3.37

Properties
* Fermi-level density of states: 0.0 states/eV per cell
* polymorph energy (0 for the lowest one): 0 meV/atom
* VASP energy: -16.15 eV per formula unit

***

[3]
Entry from the Alexandria database: an optimized crystal structure of RbTlHg2Br6 (GGA-PBE).

Lattice parameters (Å, degrees): 15.2931 14.1919 7.9484 90.00 99.98 90.00
Last column: nearest neighbours and their distance in Å.
Space group C2/c (No. 15)
Inequivalent atoms, fractional coordinates:
Rb1 0.0000 0.1017 0.2500  6 Br 3.38-3.49
Tl1 0.0000 0.3132 0.7500  6 Br 3.27-3.50
Hg1 0.2172 0.4071 0.2636  4 Br 2.61-2.79
Br1 0.1085 0.1050 0.6689  1 Hg 2.63
Br2 0.1317 0.2640 0.1085  1 Hg 2.61
Br3 0.1580 0.4360 0.5725  2 Hg 2.76-2.79

Properties
* Fermi-level density of states: 0.0 states/eV per cell
* energy relative to the elements, uncorrected: -76.10 kJ/mol of atoms
* VASP energy: -21.86 eV per formula unit

***

[4]
Entry from the Alexandria database: an optimized crystal structure of LiCaNO2 (GGA-PBE).

Lattice parameters (Å, degrees): 4.4519 4.4519 4.7282 90.00 90.00 90.00
Last column: nearest neighbours and their distance in Å.
Space group P4/mmm (No. 123)
Inequivalent atoms, fractional coordinates:
Li1 0.0000 0.0000 0.0000  4 N 3.15, 8 O 3.25
Ca1 0.5000 0.5000 0.5000  4 O 2.23, 2 N 2.36
N1 0.5000 0.5000 0.0000  2 Ca 2.36
O1 0.0000 0.5000 0.5000  2 Ca 2.23

Properties
* Fermi-level density of states: 3.1 states/eV per cell
* energy relative to the elements, uncorrected: -2.09 kJ/mol of atoms
* VASP energy: -22.27 eV per formula unit

***

[5]
Entry from the Alexandria database: an optimized crystal structure of PmNdHo5Er2 (GGA-PBE).

Lattice parameters (Å, degrees): 8.9183 8.9183 14.6732 90.00 90.00 90.00
Last column: nearest neighbours and their distance in Å.
Space group I4/mcm (No. 140)
Inequivalent atoms, fractional coordinates:
Pm1 0.0000 0.0000 0.2500  10 Ho 3.66-3.67
Nd1 0.0000 0.5000 0.2500  4 Ho 3.09
Ho1 0.0000 0.0000 0.0000  4 Er 3.59, 2 Pm 3.67, 8 Ho 3.74
Ho2 0.2023 0.2977 0.1307  1 Er 3.02, 1 Nd 3.09
Er1 0.1132 0.3868 0.5000  1 Er 2.85, 2 Ho 3.02

Properties
* Fermi-level density of states: 48.1 states/eV per cell
* VASP energy: -38.94 eV per formula unit

***

[6]
Entry from the Alexandria database: an optimized crystal structure of Re2CSe (GGA-PBE).

Lattice parameters (Å, degrees): 4.5217 4.5217 12.5096 90.00 90.00 90.00
Last column: nearest neighbours and their distance in Å.
Space group I-42d (No. 122)
Inequivalent atoms, fractional coordinates:
Re1 0.1529 0.2500 0.1250  2 C 2.05
C1 0.0000 0.0000 0.0000  4 Re 2.05
Se1 0.0000 0.0000 0.5000  4 Re 2.49

Properties
* Fermi-level density of states: 1.6 states/eV per cell
* energy relative to the elements, uncorrected: 65.60 kJ/mol of atoms
* polymorph energy (0 for the lowest one): 0 meV/atom
* VASP energy: -34.89 eV per formula unit

***

[7]
Entry from the Alexandria database: an optimized crystal structure of BaLaIn (GGA-PBE).

Lattice parameters (Å, degrees): 6.7508 5.5540 7.1955 90.00 117.95 90.00
Last column: nearest neighbours and their distance in Å.
Space group Pm (No. 6)
Inequivalent atoms, fractional coordinates:
Ba1 0.0000 0.0000 0.0000  4 In 3.86-3.91, 4 La 3.96, 2 Ba 4.04
Ba2 0.4340 0.5000 0.0001  4 La 3.75-3.82, 4 In 3.84, 2 Ba 4.04
La1 0.0396 0.5000 0.4085  4 In 3.35-3.39, 2 La 3.57-3.58, 1 Ba 3.75
La2 0.6321 0.5000 0.5924  4 In 3.35-3.39, 2 La 3.57-3.58, 1 Ba 3.75
In1 0.3599 0.0000 0.6039  4 La 3.35-3.39, 2 In 3.62-3.63
In2 0.7551 0.0000 0.3956  4 La 3.35-3.39, 2 In 3.62-3.63

Properties
* Fermi-level density of states: 9.3 states/eV per cell
* polymorph energy (0 for the lowest one): 133 meV/atom
* VASP energy: -10.16 eV per formula unit

***

[8]
Entry from the Alexandria database: an optimized crystal structure of TbTlPb (GGA-PBE).

Lattice parameters (Å, degrees): 4.7958 4.7958 18.3961 90.00 90.00 120.00
Last column: nearest neighbours and their distance in Å.
Space group P6_3/mmc (No. 194)
Inequivalent atoms, fractional coordinates:
Tb1 0.0000 0.0000 0.0000  6 Tl 3.14
Tb2 0.0000 0.0000 0.2500  6 Pb 3.28
Tl1 0.3333 0.6667 0.0803  3 Pb 3.09, 3 Tb 3.14
Pb1 0.3333 0.6667 0.6546  3 Tl 3.09, 3 Tb 3.28

Properties
* Fermi-level density of states: 5.1 states/eV per cell
* polymorph energy (0 for the lowest one): 179 meV/atom
* VASP energy: -11.12 eV per formula unit

***

[9]
Entry from the Alexandria database: an optimized crystal structure of Nd6HgSe5 (GGA-PBE).

Lattice parameters (Å, degrees): 7.4102 12.7981 7.3771 90.00 109.38 90.00
Last column: nearest neighbours and their distance in Å.
Space group C2/m (No. 12)
Inequivalent atoms, fractional coordinates:
Nd1 0.2443 0.0000 0.2514  5 Se 2.97-3.01, 1 Hg 3.06
Nd2 0.2458 0.1701 0.7465  5 Se 2.98-3.03, 1 Hg 3.07
Hg1 0.0000 0.5000 0.0000  6 Nd 3.06-3.07
Se1 0.0000 0.0000 0.5000  6 Nd 2.97-3.03
Se2 0.0000 0.1665 0.0000  6 Nd 3.00-3.01
Se3 0.0000 0.3353 0.5000  6 Nd 2.98-3.02

Properties
* Fermi-level density of states: 9.3 states/eV per cell
* energy relative to the elements, uncorrected: -156.09 kJ/mol of atoms
* VASP energy: -65.74 eV per formula unit

***

[10]
Entry from the Alexandria database: an optimized crystal structure of InOs3Br (GGA-PBE).

Lattice parameters (Å, degrees): 5.0094 5.0094 5.0094 90.00 90.00 90.00
Last column: nearest neighbours and their distance in Å.
Space group Pm-3m (No. 221)
Inequivalent atoms, fractional coordinates:
In1 0.0000 0.0000 0.0000  6 Os 2.50
Os1 0.0000 0.0000 0.5000  2 In 2.50
Br1 0.5000 0.5000 0.5000  12 Os 3.54

Properties
* Fermi-level density of states: 6.1 states/eV per cell
* energy relative to the elements, uncorrected: 292.56 kJ/mol of atoms
* polymorph energy (0 for the lowest one): 774 meV/atom
* VASP energy: -22.94 eV per formula unit

***

[11]
Entry from the Alexandria database: an optimized crystal structure of In3Sn4Pb (GGA-PBE).

Lattice parameters (Å, degrees): 16.4930 5.6130 5.1282 90.00 107.88 90.00
Last column: nearest neighbours and their distance in Å.
Space group C2/m (No. 12)
Inequivalent atoms, fractional coordinates:
In1 0.0000 0.0000 0.0000  4 In 3.19-3.22, 4 Sn 3.56
In2 0.1225 0.0000 0.6252  4 Sn 3.16-3.53, 2 In 3.19-3.22, 2 Pb 3.40
Sn1 0.1394 0.5000 0.1373  4 Sn 3.17-3.23, 2 Pb 3.37
Sn2 0.2412 0.0000 0.2438  4 In 3.16-3.53, 4 Sn 3.17-3.23
Pb1 0.0000 0.5000 0.5000  4 Sn 3.37, 4 In 3.40

Properties
* Fermi-level density of states: 7.8 states/eV per cell
* VASP energy: -27.56 eV per formula unit

***

[12]
Entry from the Alexandria database: an optimized crystal structure of Ce3Y2HoN6 (GGA-PBE).

Lattice parameters (Å, degrees): 6.0936 10.5536 6.0988 90.00 109.46 90.00
Last column: nearest neighbours and their distance in Å.
Space group C2/m (No. 12)
Inequivalent atoms, fractional coordinates:
Ce1 0.0000 0.0000 0.0000  6 N 2.49-2.50
Ce2 0.0000 0.3334 0.0000  6 N 2.49-2.50
Y1 0.0000 0.1666 0.5000  6 N 2.49
Ho1 0.0000 0.5000 0.5000  6 N 2.47
N1 0.2485 0.3343 0.7482  1 Ho 2.47, 2 Y 2.49, 3 Ce 2.49-2.50
N2 0.2485 0.5000 0.2516  1 Ho 2.47, 2 Y 2.49, 3 Ce 2.49-2.50

Properties
* Fermi-level density of states: 14.4 states/eV per cell
* energy relative to the elements, uncorrected: -154.03 kJ/mol of atoms
* VASP energy: -104.42 eV per formula unit